[1]
This record from Alexandria describes BaAsPd after structural relaxation. The functional is PBE.

Geometry as POSCAR:
```
BaAsPd
1.0
4.385 0.000 0.000
-2.192 3.797 0.000
0.000 0.000 4.840
Ba As Pd
1 1 1
Cartesian
0.000 0.000 0.000
2.192 1.266 2.420
0.000 2.531 2.420
```

Output
Raw total energy ... -4.858 eV/atom
D(E_F) ... 0.909 states/eV per atom

***

[2]
This record from Alexandria describes TcMoRh2 after structural relaxation. The functional is PBE.

Geometry as POSCAR:
```
TcMoRh2
1.0
3.250 0.000 0.000
0.000 3.250 0.000
0.000 0.000 5.636
Tc Mo Rh
1 1 2
Cartesian
0.000 0.000 0.000
1.625 1.625 1.471
0.000 0.000 2.816
1.625 1.625 4.263
```

Output
Raw total energy ... -8.870 eV/atom
Distance to the lowest polymorph of the same formula ... 315 meV/atom
D(E_F) ... 1.172 states/eV per atom

***

[3]
This record from Alexandria describes Re2Pt2Rh7 after structural relaxation. The functional is PBE.

Geometry as POSCAR:
```
Re2Pt2Rh7
1.0
5.000 -4.325 0.000
5.000 4.325 0.000
-1.664 0.000 3.958
Re Pt Rh
2 2 7
Cartesian
5.000 2.206 0.000
5.000 -2.206 0.000
1.519 0.000 0.613
6.817 0.000 3.344
-0.832 0.000 1.979
2.530 2.570 1.199
5.806 2.570 2.759
3.124 0.000 2.667
5.212 0.000 1.291
2.530 -2.570 1.199
5.806 -2.570 2.759
```

Output
Raw total energy ... -7.770 eV/atom
Distance to the lowest polymorph of the same formula ... 168 meV/atom
D(E_F) ... 1.298 states/eV per atom

***

[4]
This record from Alexandria describes InCu2Tc after structural relaxation. The functional is PBE.

Geometry as POSCAR:
```
InCu2Tc
1.0
-1.941 1.941 3.979
1.941 -1.941 3.979
1.941 1.941 -3.979
In Cu Tc
1 2 1
Cartesian
0.000 0.000 0.000
0.000 0.000 3.979
0.000 1.941 1.990
1.941 0.000 1.990
```

Output
Raw total energy ... -5.003 eV/atom
D(E_F) ... 0.561 states/eV per atom

***

[5]
This record from Alexandria describes GdGeAu after structural relaxation. The functional is PBE.

Geometry as POSCAR:
```
GdGeAu
1.0
-1.779 1.779 5.222
1.779 -1.779 5.222
1.779 1.779 -5.222
Gd Ge Au
1 1 1
Cartesian
0.000 0.000 0.000
0.000 0.000 3.246
0.000 0.000 7.012
```

Output
Raw total energy ... -7.810 eV/atom
D(E_F) ... 0.809 states/eV per atom

***

[6]
This record from Alexandria describes MnV4Ge2 after structural relaxation. The functional is PBE.

Geometry as POSCAR:
```
MnV4Ge2
1.0
6.326 0.000 0.000
-2.832 5.663 0.000
-0.549 -3.568 5.413
Mn V Ge
2 8 4
Cartesian
0.000 0.000 0.000
-1.514 0.950 3.598
-1.055 4.097 0.571
-1.417 3.328 3.204
0.680 0.128 2.526
2.080 1.159 0.396
3.513 -0.437 2.107
2.614 1.827 3.027
2.846 3.880 1.491
4.618 1.609 1.071
-0.755 -1.380 4.185
0.579 2.641 1.802
0.529 1.742 4.827
2.685 -0.414 4.505
```

Output
Raw total energy ... -7.974 eV/atom
Distance to the lowest polymorph of the same formula ... 0 meV/atom
D(E_F) ... 0.741 states/eV per atom

***

[7]
This record from Alexandria describes HfS2Cl after structural relaxation. The functional is PBE.

Geometry as POSCAR:
```
HfS2Cl
1.0
-3.401 3.401 5.248
3.401 -3.401 5.248
3.401 3.401 -5.248
Hf S Cl
2 4 2
Cartesian
0.000 0.000 0.000
0.000 3.401 2.624
5.102 1.063 -1.312
1.063 1.701 1.312
-1.701 2.339 3.936
2.339 1.701 6.559
3.401 0.000 2.624
0.000 0.000 5.248
```

Output
Raw total energy ... -5.673 eV/atom
Distance to the lowest polymorph of the same formula ... 349 meV/atom
Formation energy without anion corrections ... -2.6 eV per formula unit
D(E_F) ... 1.029 states/eV per atom

***

[8]
This record from Alexandria describes Pm2Sm4DyTm after structural relaxation. The functional is PBE.

Geometry as POSCAR:
```
Pm2Sm4DyTm
1.0
6.854 -6.652 0.000
6.854 6.652 0.000
-3.428 0.000 5.950
Pm Sm Dy Tm
4 8 2 2
Cartesian
0.000 0.000 0.000
-1.714 0.000 2.975
3.427 3.326 0.000
1.713 -3.326 2.975
1.674 0.021 3.118
3.388 -0.021 0.142
6.845 3.255 0.001
5.148 3.255 2.974
5.131 -3.255 2.976
3.433 -3.255 5.949
6.891 0.021 5.808
8.605 -0.021 2.833
1.713 3.326 2.975
3.427 -3.326 0.000
6.854 0.000 0.000
5.139 0.000 2.975
```

Output
Raw total energy ... -4.278 eV/atom
D(E_F) ... 2.519 states/eV per atom

***

[9]
This record from Alexandria describes Dy3Ho3Tm after structural relaxation. The functional is PBE.

Geometry as POSCAR:
```
Dy3Ho3Tm
1.0
9.496 0.000 0.000
-4.748 8.224 0.000
0.000 0.000 5.601
Dy Ho Tm
6 6 2
Cartesian
-3.387 6.648 1.400
0.684 1.967 1.400
2.045 0.391 4.201
2.703 7.833 1.400
4.064 6.257 4.201
8.135 1.576 4.201
-2.036 5.088 4.201
1.359 3.916 4.201
4.071 0.781 1.400
0.677 7.443 4.201
3.389 4.308 1.400
6.784 3.135 1.400
0.000 5.482 1.400
4.748 2.741 4.201
```

Output
Raw total energy ... -4.566 eV/atom
Distance to the lowest polymorph of the same formula ... 0 meV/atom
D(E_F) ... 2.059 states/eV per atom

***

[10]
This record from Alexandria describes Pm7Nd3Tm after structural relaxation. The functional is PBE.

Geometry as POSCAR:
```
Pm7Nd3Tm
1.0
9.599 -3.644 0.000
9.599 3.644 0.000
-5.327 0.000 11.368
Pm Nd Tm
14 6 2
Cartesian
1.210 1.838 10.991
3.871 1.806 5.332
5.604 1.864 8.526
2.601 0.007 8.218
5.264 -0.007 2.533
9.997 1.838 6.062
12.663 1.806 0.352
1.208 -1.806 11.016
3.874 -1.838 5.307
8.607 0.007 8.835
11.270 -0.007 3.151
8.267 -1.864 2.842
10.000 -1.806 6.037
12.661 -1.838 0.377
-1.024 0.050 8.821
1.640 -0.050 3.136
9.599 0.000 0.000
6.936 0.000 5.684
12.231 0.050 8.232
14.895 -0.050 2.548
0.000 0.000 0.000
-2.663 0.000 5.684
```

Output
Raw total energy ... -4.550 eV/atom
Distance to the lowest polymorph of the same formula ... 0 meV/atom
D(E_F) ... 1.611 states/eV per atom

***

[11]
This record from Alexandria describes ZrTlI5 after structural relaxation. The functional is PBE.

Geometry as POSCAR:
```
ZrTlI5
1.0
6.664 -4.714 0.000
6.664 4.714 0.000
-4.503 0.000 10.434
Zr Tl I
2 2 10
Cartesian
0.000 0.000 0.000
-2.252 0.000 5.217
3.287 0.250 7.825
5.539 -0.250 2.608
3.287 3.833 7.825
0.031 1.016 6.536
5.458 2.132 0.136
2.282 -1.016 1.319
5.619 2.132 5.081
3.206 -2.132 5.353
6.543 1.016 9.115
3.368 -2.132 10.298
8.795 -1.016 3.898
5.539 -3.833 2.608
```

Output
Raw total energy ... -3.441 eV/atom
Formation energy without anion corrections ... -5.4 eV per formula unit

***

[12]
This record from Alexandria describes BeFeRu2 after structural relaxation. The functional is PBE.

Geometry as POSCAR:
```
BeFeRu2
1.0
-1.753 1.753 3.946
1.753 -1.753 3.946
1.753 1.753 -3.946
Be Fe Ru
1 1 2
Cartesian
0.000 0.000 0.000
1.753 0.000 1.973
0.000 0.000 3.946
0.000 1.753 1.973
```

Output
Raw total energy ... -7.663 eV/atom
D(E_F) ... 0.854 states/eV per atom

***

no.,magnetization (μB/atom)
1,0.000
2,0.000
3,0.000
4,0.000
5,2.413
6,0.000
7,0.235
8,0.007
9,0.001
10,0.000
11,0.000
12,0.545